1.
DFT (PBE-GGA) results for a relaxed structure of MgSi2.

The calculation puts the energy above the most stable polymorph in this dataset at 8.70 kJ/mol of atoms.

Cell lengths 6.788, 3.730, 8.942 Å; angles 90.00, 91.14, 90.00 degrees
Space group Pm (No. 6)
Inequivalent atoms, fractional coordinates:
Mg  0.000  0.000  0.000 (multiplicity 1)
Mg  0.073  0.000  0.467 (multiplicity 1)
Mg  0.424  0.500  0.490 (multiplicity 1)
Mg  0.533  0.500  0.020 (multiplicity 1)
Si  0.164  0.500  0.705 (multiplicity 1)
Si  0.165  0.500  0.204 (multiplicity 1)
Si  0.357  0.000  0.797 (multiplicity 1)
Si  0.381  0.000  0.245 (multiplicity 1)
Si  0.675  0.000  0.669 (multiplicity 1)
Si  0.690  0.000  0.395 (multiplicity 1)
Si  0.819  0.500  0.259 (multiplicity 1)
Si  0.831  0.500  0.788 (multiplicity 1)

---

2.
DFT (PBE-GGA) results for a relaxed structure of MgSi2.

The calculation puts the energy above the most stable polymorph in this dataset at 3.21 kJ/mol of atoms.

Cell lengths 3.7444, 3.7444, 28.7308 Å; angles 90.00, 90.00, 120.00 degrees
Space group R-3m (No. 166, hexagonal axes)
Inequivalent atoms, fractional coordinates:
Mg  0.0000  0.0000  0.0834 (multiplicity 6)
Si  0.0000  0.0000  0.1844 (multiplicity 6)
Si  0.0000  0.0000  0.3503 (multiplicity 6)

---

The records above give, respectively, energy relative to the elements, uncorrected values of 0.11, 0.06 eV/atom.
The records above give, respectively, spin magnetization values of 0.0, 0.0 μB per formula unit.
The records above give, respectively, calculated volume values of 226.3, 348.8 Å³/cell.